This record from Alexandria describes a relaxed YTeAu2 crystal. The functional is PBE.

The uncorrected formation energy comes out at -0.59 eV per atom. As for the total moment: 0.0 μB per cell. Its calculated total energy is -18.53 eV for the cell shown.

Lattice parameters (Å, degrees): 3.878 3.878 6.499 90.00 90.00 90.00
Space group P4mm (No. 99)
Symmetry-distinct sites (fractional):
Y (0.000, 0.000, 0.000) [1 per cell]
Te (0.500, 0.500, 0.787) [1 per cell]
Au (0.000, 0.000, 0.433) [1 per cell]
Au (0.500, 0.500, 0.287) [1 per cell]

---

This record from Alexandria describes a relaxed YTe2Au crystal. The functional is PBE.

The uncorrected formation energy comes out at -0.91 eV per atom. As for the total moment: 0.0 μB per cell. Its calculated total energy is -78.62 eV for the cell shown.

Lattice parameters (Å, degrees): 8.226 4.129 13.324 90.00 90.00 90.00
Space group Ima2 (No. 46)
Symmetry-distinct sites (fractional):
Y (0.250, 0.011, 0.000) [4 per cell]
Te (0.000, 0.000, 0.412) [4 per cell]
Te (0.250, 0.562, 0.182) [4 per cell]
Au (0.000, 0.000, 0.187) [4 per cell]

---

This record from Alexandria describes a relaxed YTe2Au crystal. The functional is PBE.

The uncorrected formation energy comes out at -0.84 eV per atom. As for the total moment: 0.0 μB per cell. Its calculated total energy is -19.40 eV for the cell shown.

Lattice parameters (Å, degrees): 4.5515 4.5515 7.0094 90.00 90.00 120.00
Space group P3m1 (No. 156)
Symmetry-distinct sites (fractional):
Y (0.0000, 0.0000, 0.0000) [1 per cell]
Te (0.3333, 0.6667, 0.7702) [1 per cell]
Te (0.6667, 0.3333, 0.2541) [1 per cell]
Au (0.3333, 0.6667, 0.3717) [1 per cell]

---

This record from Alexandria describes a relaxed YTe2Au crystal. The functional is PBE.

The uncorrected formation energy comes out at -0.80 eV per atom. As for the total moment: 0.0 μB per cell. Its calculated total energy is -38.45 eV for the cell shown.

Lattice parameters (Å, degrees): 7.827 4.320 6.836 90.00 94.22 90.00
Space group C2/m (No. 12)
Symmetry-distinct sites (fractional):
Y (0.000, 0.000, 0.000) [2 per cell]
Te (0.157, 0.500, 0.740) [4 per cell]
Au (0.000, 0.000, 0.500) [2 per cell]

---

This record from Alexandria describes a relaxed Y2Te4Au crystal. The functional is PBE.

The uncorrected formation energy comes out at -0.90 eV per atom. As for the total moment: 0.0 μB per cell. Its calculated total energy is -70.21 eV for the cell shown.

Lattice parameters (Å, degrees): 7.732 6.250 8.729 90.00 104.95 90.00
Space group P2_1/m (No. 11)
Symmetry-distinct sites (fractional):
Y (0.205, 0.250, 0.419) [2 per cell]
Y (0.262, 0.250, 0.943) [2 per cell]
Te (0.062, 0.750, 0.354) [2 per cell]
Te (0.080, 0.750, 0.924) [2 per cell]
Te (0.476, 0.506, 0.250) [4 per cell]
Au (0.210, 0.750, 0.666) [2 per cell]

---

This record from Alexandria describes a relaxed Y6Te5Au crystal. The functional is PBE.

The uncorrected formation energy comes out at -1.28 eV per atom. As for the total moment: 0.0 μB per cell. Its calculated total energy is -146.22 eV for the cell shown.

Lattice parameters (Å, degrees): 7.566 13.053 7.544 90.00 109.36 90.00
Space group C2/m (No. 12)
Symmetry-distinct sites (fractional):
Y (0.229, 0.000, 0.258) [4 per cell]
Y (0.232, 0.156, 0.733) [8 per cell]
Te (0.000, 0.177, 0.000) [4 per cell]
Te (0.000, 0.336, 0.500) [4 per cell]
Te (0.000, 0.500, 0.000) [2 per cell]
Au (0.000, 0.000, 0.500) [2 per cell]

---

This record from Alexandria describes a relaxed YTe2Au crystal. The functional is PBE.

The uncorrected formation energy comes out at -0.68 eV per atom. As for the total moment: 0.0 μB per cell. Its calculated total energy is -56.22 eV for the cell shown.

Lattice parameters (Å, degrees): 4.2796 4.2796 21.5842 90.00 90.00 120.00
Space group R3m (No. 160, hexagonal axes)
Symmetry-distinct sites (fractional):
Y (0.0000, 0.0000, 0.0000) [3 per cell]
Te (0.0000, 0.0000, 0.5758) [3 per cell]
Te (0.0000, 0.0000, 0.7525) [3 per cell]
Au (0.0000, 0.0000, 0.1610) [3 per cell]

---

This record from Alexandria describes a relaxed YTe2Au crystal. The functional is PBE.

The uncorrected formation energy comes out at -0.74 eV per atom. As for the total moment: 0.0 μB per cell. Its calculated total energy is -75.93 eV for the cell shown.

Lattice parameters (Å, degrees): 5.997 5.997 13.288 90.00 90.00 90.00
Space group I4_1/amd (No. 141, origin choice 2)
Symmetry-distinct sites (fractional):
Y (0.000, 0.250, 0.375) [4 per cell]
Te (0.000, 0.250, 0.137) [8 per cell]
Au (0.000, 0.250, 0.875) [4 per cell]

---

This record from Alexandria describes a relaxed YTe2Au2 crystal. The functional is PBE.

The uncorrected formation energy comes out at -0.49 eV per atom. For the energy relative to the lowest polymorph listed for this composition, the calculation gives 0 meV/atom. As for the total moment: 0.0 μB per cell. Its calculated total energy is -43.48 eV for the cell shown.

Lattice parameters (Å, degrees): 3.923 3.923 16.864 90.00 90.00 90.00
Space group I4/mmm (No. 139)
Symmetry-distinct sites (fractional):
Y (0.000, 0.000, 0.000) [2 per cell]
Te (0.000, 0.000, 0.404) [4 per cell]
Au (0.000, 0.500, 0.250) [4 per cell]

---

This record from Alexandria describes a relaxed YTe2Au crystal. The functional is PBE.

The uncorrected formation energy comes out at -0.86 eV per atom. As for the total moment: 0.0 μB per cell. Its calculated total energy is -77.93 eV for the cell shown.

Lattice parameters (Å, degrees): 9.045 8.680 7.811 90.00 124.48 90.00
Space group Cc (No. 9)
Symmetry-distinct sites (fractional):
Y (0.000, 0.121, 0.000) [4 per cell]
Te (0.268, 0.103, 0.480) [4 per cell]
Te (0.282, 0.344, 0.022) [4 per cell]
Au (0.251, 0.373, 0.648) [4 per cell]

---

This record from Alexandria describes a relaxed YTeAu2 crystal. The functional is PBE.

The uncorrected formation energy comes out at -0.53 eV per atom. As for the total moment: 0.0 μB per cell. Its calculated total energy is -36.57 eV for the cell shown.

Lattice parameters (Å, degrees): 4.248 4.400 10.004 90.00 90.00 90.00
Space group Imm2 (No. 44)
Symmetry-distinct sites (fractional):
Y (0.000, 0.000, 0.000) [2 per cell]
Te (0.000, 0.500, 0.241) [2 per cell]
Au (0.000, 0.000, 0.458) [2 per cell]
Au (0.000, 0.500, 0.744) [2 per cell]

---

This record from Alexandria describes a relaxed YTe2Au crystal. The functional is PBE.

The uncorrected formation energy comes out at -0.80 eV per atom. As for the total moment: 0.0 μB per cell. Its calculated total energy is -57.66 eV for the cell shown.

Lattice parameters (Å, degrees): 4.5033 4.5033 22.2204 90.00 90.00 120.00
Space group R3m (No. 160, hexagonal axes)
Symmetry-distinct sites (fractional):
Y (0.0000, 0.0000, 0.0000) [3 per cell]
Te (0.0000, 0.0000, 0.5533) [3 per cell]
Te (0.0000, 0.0000, 0.7386) [3 per cell]
Au (0.0000, 0.0000, 0.2519) [3 per cell]

---

This record from Alexandria describes a relaxed YTe2Au crystal. The functional is PBE.

The uncorrected formation energy comes out at -0.85 eV per atom. As for the total moment: 0.0 μB per cell. Its calculated total energy is -38.86 eV for the cell shown.

Lattice parameters (Å, degrees): 3.997 4.090 15.411 90.00 90.00 90.00
Space group Imm2 (No. 44)
Symmetry-distinct sites (fractional):
Y (0.000, 0.000, 0.000) [2 per cell]
Te (0.000, 0.000, 0.580) [2 per cell]
Te (0.000, 0.500, 0.337) [2 per cell]
Au (0.000, 0.500, 0.843) [2 per cell]

---

This record from Alexandria describes a relaxed YTe2Au crystal. The functional is PBE.

The uncorrected formation energy comes out at -0.55 eV per atom. As for the total moment: 0.0 μB per cell. Its calculated total energy is -36.42 eV for the cell shown.

Lattice parameters (Å, degrees): 4.659 4.689 9.372 90.00 90.00 90.00
Space group Immm (No. 71)
Symmetry-distinct sites (fractional):
Y (0.000, 0.000, 0.000) [2 per cell]
Te (0.000, 0.500, 0.250) [4 per cell]
Au (0.000, 0.000, 0.500) [2 per cell]

---

This record from Alexandria describes a relaxed YTe2Au crystal. The functional is PBE.

The uncorrected formation energy comes out at -0.90 eV per atom. As for the total moment: 0.0 μB per cell. Its calculated total energy is -39.23 eV for the cell shown.

Lattice parameters (Å, degrees): 7.910 4.566 7.566 90.00 90.34 90.00
Space group Cm (No. 8)
Symmetry-distinct sites (fractional):
Y (0.000, 0.000, 0.000) [2 per cell]
Te (0.165, 0.500, 0.686) [2 per cell]
Te (0.334, 0.000, 0.204) [2 per cell]
Au (0.332, 0.000, 0.806) [2 per cell]

---

This record from Alexandria describes a relaxed YTe2Au crystal. The functional is PBE.

The uncorrected formation energy comes out at -0.68 eV per atom. As for the total moment: 0.0 μB per cell. Its calculated total energy is -74.97 eV for the cell shown.

Lattice parameters (Å, degrees): 6.530 6.530 13.784 90.00 90.00 90.00
Space group I-42d (No. 122)
Symmetry-distinct sites (fractional):
Y (0.000, 0.000, 0.000) [4 per cell]
Te (0.228, 0.250, 0.625) [8 per cell]
Au (0.000, 0.000, 0.500) [4 per cell]

---

This record from Alexandria describes a relaxed YTeAu2 crystal. The functional is PBE.

The uncorrected formation energy comes out at -0.53 eV per atom. As for the total moment: 0.0 μB per cell. Its calculated total energy is -73.06 eV for the cell shown.

Lattice parameters (Å, degrees): 8.162 8.162 5.893 90.00 90.00 90.00
Space group I-42d (No. 122)
Symmetry-distinct sites (fractional):
Y (0.000, 0.000, 0.000) [4 per cell]
Te (0.000, 0.000, 0.500) [4 per cell]
Au (0.237, 0.250, 0.625) [8 per cell]

---

This record from Alexandria describes a relaxed YTe2Au crystal. The functional is PBE.

The uncorrected formation energy comes out at -0.50 eV per atom. As for the total moment: 0.0 μB per cell. Its calculated total energy is -72.16 eV for the cell shown.

Lattice parameters (Å, degrees): 3.652 39.140 3.576 90.00 90.00 90.00
Space group Cmcm (No. 63)
Symmetry-distinct sites (fractional):
Y (0.000, 0.119, 0.250) [4 per cell]
Te (0.000, 0.055, 0.750) [4 per cell]
Te (0.000, 0.203, 0.250) [4 per cell]
Au (0.000, 0.343, 0.250) [4 per cell]

---

This record from Alexandria describes a relaxed YTe2Au crystal. The functional is PBE.

The uncorrected formation energy comes out at -0.83 eV per atom. As for the total moment: 0.0 μB per cell. Its calculated total energy is -58.00 eV for the cell shown.

Lattice parameters (Å, degrees): 4.5647 4.5647 25.3032 90.00 90.00 120.00
Space group R-3m (No. 166, hexagonal axes)
Symmetry-distinct sites (fractional):
Y (0.0000, 0.0000, 0.0000) [3 per cell]
Te (0.0000, 0.0000, 0.3976) [6 per cell]
Au (0.0000, 0.0000, 0.5000) [3 per cell]

---

This record from Alexandria describes a relaxed YTe2Au crystal. The functional is PBE.

The uncorrected formation energy comes out at -0.68 eV per atom. As for the total moment: 0.0 μB per cell. Its calculated total energy is -56.29 eV for the cell shown.

Lattice parameters (Å, degrees): 4.4268 4.4268 20.5288 90.00 90.00 120.00
Space group R-3m (No. 166, hexagonal axes)
Symmetry-distinct sites (fractional):
Y (0.0000, 0.0000, 0.0000) [3 per cell]
Te (0.0000, 0.0000, 0.2465) [6 per cell]
Au (0.0000, 0.0000, 0.5000) [3 per cell]